First-principles (PBE) data for a relaxed structure of KCr2Ru, as listed in Alexandria via LeMat-Bulk.

Values from the calculation:
energy relative to the elements: 82.4 kJ per mole of atoms
electronic total energy: -6.550 eV per atom

a b c (Å): 8.887 2.888 6.741
angles (deg): 90.00 93.91 90.00
Space group C2/m (No. 12)
Asymmetric unit:
K 0.000 0.000 0.000 (multiplicity 2)
Cr 0.230 0.000 0.608 (multiplicity 4)
Ru 0.000 0.500 0.500 (multiplicity 2)

---

First-principles (PBE) data for a relaxed structure of KCr2Ru, as listed in Alexandria via LeMat-Bulk.

Values from the calculation:
energy relative to the elements: 74.2 kJ per mole of atoms
electronic total energy: -6.636 eV per atom

a b c (Å): 3.020 3.020 8.862
angles (deg): 90.00 90.00 90.00
Space group P4/mmm (No. 123)
Asymmetric unit:
K 0.000 0.000 0.000 (multiplicity 1)
Cr 0.500 0.500 0.331 (multiplicity 2)
Ru 0.000 0.000 0.500 (multiplicity 1)

---

First-principles (PBE) data for a relaxed structure of KCr2Ru, as listed in Alexandria via LeMat-Bulk.

Values from the calculation:
energy relative to the elements: 80.3 kJ per mole of atoms
electronic total energy: -6.573 eV per atom

a b c (Å): 2.951 4.568 9.653
angles (deg): 90.00 90.00 90.00
Space group Cmm2 (No. 35)
Asymmetric unit:
K 0.000 0.000 0.000 (multiplicity 2)
Cr 0.000 0.000 0.495 (multiplicity 2)
Cr 0.000 0.500 0.320 (multiplicity 2)
Ru 0.000 0.500 0.705 (multiplicity 2)

---

First-principles (PBE) data for a relaxed structure of KCr2Ru, as listed in Alexandria via LeMat-Bulk.

Values from the calculation:
energy relative to the elements: 124.7 kJ per mole of atoms
electronic total energy: -6.113 eV per atom

a b c (Å): 5.771 5.771 15.029
angles (deg): 90.00 90.00 90.00
Space group I4_1/amd (No. 141, origin choice 2)
Asymmetric unit:
K 0.000 0.250 0.375 (multiplicity 4)
Cr 0.000 0.000 0.000 (multiplicity 8)
Ru 0.000 0.250 0.875 (multiplicity 4)

---

First-principles (PBE) data for a relaxed structure of KCrRu3, as listed in Alexandria via LeMat-Bulk.

Values from the calculation:
energy relative to the elements: 313.0 kJ per mole of atoms
electronic total energy: -4.466 eV per atom

a b c (Å): 4.467 4.467 4.467
angles (deg): 90.00 90.00 90.00
Space group Pm-3m (No. 221)
Asymmetric unit:
K 0.000 0.000 0.000 (multiplicity 1)
Cr 0.500 0.500 0.500 (multiplicity 1)
Ru 0.000 0.000 0.500 (multiplicity 3)

---

First-principles (PBE) data for a relaxed structure of KCrRu2, as listed in Alexandria via LeMat-Bulk.

Values from the calculation:
energy relative to the elements: 96.1 kJ per mole of atoms
electronic total energy: -6.322 eV per atom

a b c (Å): 2.878 4.634 10.110
angles (deg): 90.00 90.00 90.00
Space group Cmm2 (No. 35)
Asymmetric unit:
K 0.000 0.000 0.000 (multiplicity 2)
Cr 0.000 0.500 0.300 (multiplicity 2)
Ru 0.000 0.000 0.491 (multiplicity 2)
Ru 0.000 0.500 0.717 (multiplicity 2)

---

First-principles (PBE) data for a relaxed structure of KCr3Ru, as listed in Alexandria via LeMat-Bulk.

Values from the calculation:
energy relative to the elements: 276.3 kJ per mole of atoms
electronic total energy: -4.985 eV per atom

a b c (Å): 4.144 4.144 4.144
angles (deg): 90.00 90.00 90.00
Space group Pm-3m (No. 221)
Asymmetric unit:
K 0.000 0.000 0.000 (multiplicity 1)
Cr 0.000 0.000 0.500 (multiplicity 3)
Ru 0.500 0.500 0.500 (multiplicity 1)

---

First-principles (PBE) data for a relaxed structure of KCr2Ru, as listed in Alexandria via LeMat-Bulk.

Values from the calculation:
energy relative to the elements: 79.6 kJ per mole of atoms
electronic total energy: -6.580 eV per atom

a b c (Å): 8.234 2.908 7.462
angles (deg): 90.00 96.44 90.00
Space group Cm (No. 8)
Asymmetric unit:
K 0.000 0.000 0.000 (multiplicity 2)
Cr 0.002 0.500 0.466 (multiplicity 2)
Cr 0.217 0.000 0.626 (multiplicity 2)
Ru 0.273 0.500 0.357 (multiplicity 2)